Record 1
The following is a meta-GGA SCAN calculation of a crystal of BaMn2Ag relaxed with PBEsol, from Alexandria.

Summary:
crystal system: cubic
SG: F-43m (216)

Structure (POSCAR):
```
BaMn2Ag
1.0
-3.1304 -2.5516 3.1244
1.4630 -4.4699 1.9877
1.0865 -0.3476 4.9770
Ag Mn Ba
1 2 1
Direct
0.5000 0.5000 0.5000 Ag
0.2500 0.2500 0.2500 Mn
0.0000 0.0000 0.0000 Mn
0.7500 0.7500 0.7500 Ba
```

***

Record 2
The following is a meta-GGA SCAN calculation of a crystal of BaMn2Ag relaxed with PBEsol, from Alexandria.

Summary:
crystal system: orthorhombic
SG: Pmmm (47)

Structure (POSCAR):
```
BaMn2Ag
1.0
3.3680 0.0000 0.0000
0.0000 5.0027 0.0000
0.0000 0.0000 5.1735
Ba Mn Ag
1 2 1
Direct
0.0000 0.5000 0.5000 Ba
0.0000 0.0000 0.0000 Mn
0.5000 0.0000 0.5000 Mn
0.5000 0.5000 0.0000 Ag
```

***

Record 3
The following is a meta-GGA SCAN calculation of a crystal of BaMn2Ag relaxed with PBEsol, from Alexandria.

Summary:
crystal system: monoclinic
SG: C2/m (12)

Structure (POSCAR):
```
BaMn2Ag
1.0
-0.5732 -2.1857 -2.1168
4.8740 0.9995 -2.0313
-0.1397 -2.9286 5.1658
Mn Ba Ag
2 1 1
Direct
0.5000 0.5000 0.5000 Mn
0.0000 0.0000 0.5000 Mn
0.5000 0.0000 0.0000 Ba
0.0000 0.5000 0.0000 Ag
```

***

Q: Which Fermi-level density of states values were calculated for the entries above? A: 2.3; 2.9; 3.1, in states/eV/cell.
Q: Which total magnetization values were calculated for the entries above? A: 8.88; 8.11; 7.93, in μB/cell.
Q: Which final energy values were calculated for the entries above? A: -26.46; -26.37; -26.28, in eV per atom.